# BiMoOF2

A geometry-optimized BiMoOF2 structure (PBE+U, the Alexandria database). Values from VASP.

Values from the calculation:
spin magnetization	2.91	μB/f.u.
mass density	7472	kg/m³
SG	No. 123
electronic total energy	-5.220	eV/atom
ΔE to the lowest computed polymorph	0	meV per atom
Fermi-level density of states	2.21	states/eV per cell

```
&SYSTEM
  ibrav = 0, nat = 5, ntyp = 4
/
ATOMIC_SPECIES
Mo 95.94 Mo.upf
Bi 208.98 Bi.upf
O 16.00 O.upf
F 19.00 F.upf
CELL_PARAMETERS angstrom
-1.468 3.850 -1.301
-3.599 -0.589 2.318
1.867 1.850 3.369
ATOMIC_POSITIONS crystal
Mo 0.000 0.000 0.000
Bi 0.500 0.500 0.500
O 0.000 0.000 0.500
F 0.000 0.500 0.000
F 0.500 0.000 0.000
```